The following is a PBE-GGA calculation of a relaxed Tm8ScTl6 crystal, from Alexandria.

Results
Space group ... R-3
Energy ... -0.2831 Ry per atom
N(E_F) ... 18.2 states/eV/cell

a b c (Å): 8.9013 8.9013 8.2601
angles (deg): 57.40 57.40 60.00
Element x y z (fractional)
Tm 0.4439 0.7752 0.6722
Tl 0.0646 0.7362 0.8060
Tl 0.9354 0.2638 0.1940
Tl 0.3932 0.0646 0.8060
Tl 0.6068 0.9354 0.1940
Tm 0.3337 0.3337 0.9988
Tm 0.2248 0.8912 0.3278
Sc 0.0000 0.0000 0.0000
Tl 0.2638 0.6068 0.1940
Tm 0.1088 0.4439 0.6722
Tm 0.8912 0.5561 0.3278
Tm 0.7752 0.1088 0.6722
Tm 0.5561 0.2248 0.3278
Tl 0.7362 0.3932 0.8060
Tm 0.6663 0.6663 0.0012